This record from Alexandria describes a geometry-optimized ScGe2WO structure. The functional is PBE+U.

Results
- total energy (eV/atom) = -5.6972
- DOS(E_F) (states/eV/atom) = 0.30

Lattice parameters (Å, degrees): 4.677 4.677 3.964 90.00 90.00 90.00
Space group P4/mmm (No. 123)
Asymmetric unit:
1 Sc 0.000 0.000 0.000 [1 per cell]
2 Ge 0.000 0.500 0.500 [2 per cell]
3 W 0.500 0.500 0.000 [1 per cell]
4 O 0.500 0.500 0.500 [1 per cell]